Record 1
A plane-wave DFT calculation with PBE-GGA was carried out for a relaxed KPuNiCl6 crystal.

Output
Symmetry ... No. 163
Formation energy without anion corrections ... -1.48 eV/atom
Total magnetization ... 0.333 μB per atom
E ... -5.067 eV/atom

abc: 6.703 6.703 13.865
angles: 90.00 90.00 120.00
Last column: magnetic moment on the atom in μB.
Positions (direct):
K (0.000, 0.000, 0.000)  0.00
K (0.000, 0.000, 0.500)  0.00
Pu (0.333, 0.667, 0.250)  4.91
Pu (0.667, 0.333, 0.750)  4.91
Ni (0.667, 0.333, 0.250)  -1.39
Ni (0.333, 0.667, 0.750)  -1.39
Cl (0.649, 0.620, 0.147)  -0.08
Cl (0.971, 0.351, 0.147)  -0.08
Cl (0.351, 0.971, 0.647)  -0.08
Cl (0.029, 0.649, 0.853)  -0.08
Cl (0.380, 0.351, 0.353)  -0.08
Cl (0.971, 0.620, 0.353)  -0.08
Cl (0.620, 0.971, 0.853)  -0.08
Cl (0.649, 0.029, 0.353)  -0.08
Cl (0.029, 0.380, 0.647)  -0.08
Cl (0.380, 0.029, 0.147)  -0.08
Cl (0.620, 0.649, 0.647)  -0.08
Cl (0.351, 0.380, 0.853)  -0.08

***

Record 2
A plane-wave DFT calculation with PBE-GGA was carried out for a relaxed MgNiPd6 crystal.

Output
E above lowest polymorph ... 0.0 meV per atom
Symmetry ... No. 123
E_form ... -0.22 eV/atom
Total magnetization ... 0.083 μB per atom
E ... -5.035 eV/atom

abc: 3.915 3.915 7.851
angles: 90.00 90.00 90.00
Last column: magnetic moment on the atom in μB.
Positions (direct):
Mg (0.000, 0.000, 0.000)  0.00
Ni (0.000, 0.000, 0.500)  0.43
Pd (0.500, 0.500, 0.000)  0.02
Pd (0.500, 0.500, 0.500)  0.07
Pd (0.500, 0.000, 0.258)  0.05
Pd (0.500, 0.000, 0.742)  0.05
Pd (0.000, 0.500, 0.258)  0.05
Pd (0.000, 0.500, 0.742)  0.05

***

Record 3
A plane-wave DFT calculation with PBE-GGA was carried out for a relaxed Sm2Ni2Rh crystal.

Output
Symmetry ... No. 127
E_form ... -0.41 eV/atom
Total magnetization ... 0.000 μB per atom
E ... -6.078 eV/atom

abc: 6.972 6.972 7.817
angles: 90.00 90.00 90.00
Positions (direct):
Sm (0.686, 0.814, 0.500)
Sm (0.314, 0.186, 0.500)
Sm (0.814, 0.314, 0.000)
Sm (0.186, 0.686, 0.000)
Sm (0.814, 0.314, 0.500)
Sm (0.186, 0.686, 0.500)
Sm (0.314, 0.186, 0.000)
Sm (0.686, 0.814, 0.000)
Ni (0.381, 0.881, 0.250)
Ni (0.619, 0.119, 0.250)
Ni (0.119, 0.381, 0.750)
Ni (0.881, 0.619, 0.750)
Ni (0.881, 0.619, 0.250)
Ni (0.119, 0.381, 0.250)
Ni (0.381, 0.881, 0.750)
Ni (0.619, 0.119, 0.750)
Rh (0.500, 0.500, 0.250)
Rh (0.000, 0.000, 0.750)
Rh (0.500, 0.500, 0.750)
Rh (0.000, 0.000, 0.250)

***

Record 4
A plane-wave DFT calculation with PBE-GGA was carried out for a relaxed Pm2HgSb4 crystal.

Output
Symmetry ... No. 115
Formation energy without anion corrections ... -0.67 eV/atom
Total magnetization ... 0.000 μB per atom
E ... -4.424 eV/atom

abc: 4.416 4.416 10.419
angles: 90.00 90.00 90.00
Positions (direct):
Pm (0.500, 0.000, 0.739)
Pm (0.000, 0.500, 0.261)
Hg (0.500, 0.500, 0.000)
Sb (0.500, 0.000, 0.179)
Sb (0.000, 0.500, 0.821)
Sb (0.500, 0.500, 0.500)
Sb (0.000, 0.000, 0.500)

***

Record 5
A plane-wave DFT calculation with PBE-GGA was carried out for a relaxed LiGa4NiPd2 crystal.

Output
Symmetry ... No. 166
E_form ... -0.47 eV/atom
Total magnetization ... 0.000 μB per atom
E ... -4.241 eV/atom

abc: 4.334 4.334 7.522
angles: 73.26 73.26 60.00
Positions (direct):
Li (0.000, 0.000, 0.000)
Ga (0.379, 0.379, 0.862)
Ga (0.871, 0.871, 0.388)
Ga (0.129, 0.129, 0.612)
Ga (0.621, 0.621, 0.138)
Ni (0.500, 0.500, 0.500)
Pd (0.746, 0.746, 0.763)
Pd (0.254, 0.254, 0.237)